Record 1
DFT (PBE) results for crystalline TiHSeN2 at its relaxed geometry.

The total magnetic moment comes out at 0.0000 μB per atom. The value obtained for the relative energy among the computed polymorphs is 281 meV per atom.

The space group is P4/mmm (No. 123) and the conventional cell measures 3.9153, 3.9153 and 3.1624 Å, with angles of 90.00, 90.00 and 90.00 degrees. Symmetry generates all atoms from Ti at (0.0000, 0.0000, 0.0000), H at (0.5000, 0.5000, 0.5000), Se at (0.5000, 0.5000, 0.0000) and N at (0.0000, 0.5000, 0.5000).


Record 2
DFT (PBE) results for crystalline TiHSeN2 at its relaxed geometry.

The total magnetic moment comes out at 0.1314 μB per atom. The value obtained for the relative energy among the computed polymorphs is 0 meV per atom.

The space group is P4/mmm (No. 123) and the conventional cell measures 3.7984, 3.7984 and 5.3991 Å, with angles of 90.00, 90.00 and 90.00 degrees. Symmetry generates all atoms from Ti at (0.0000, 0.0000, 0.0000), H at (0.5000, 0.5000, 0.5000), Se at (0.0000, 0.0000, 0.5000) and N at (0.0000, 0.5000, 0.0000).


Record 3
DFT (PBE) results for crystalline TiH2SeN at its relaxed geometry.

The electronic total energy comes out at -4.448 eV/atom. The total magnetic moment comes out at 0.0070 μB per atom.

The space group is P4/mmm (No. 123) and the conventional cell measures 3.3283, 3.3283 and 5.6268 Å, with angles of 90.00, 90.00 and 90.00 degrees. Symmetry generates all atoms from Ti at (0.0000, 0.0000, 0.0000), H at (0.0000, 0.5000, 0.5000), Se at (0.5000, 0.5000, 0.0000) and N at (0.5000, 0.5000, 0.5000).


Record 4
DFT (PBE) results for crystalline TlHSeN2 at its relaxed geometry.

The total magnetic moment comes out at 0.9197 μB per atom. The value obtained for the relative energy among the computed polymorphs is 421 meV per atom.

The space group is P4/mmm (No. 123) and the conventional cell measures 4.4514, 4.4514 and 5.7812 Å, with angles of 90.00, 90.00 and 90.00 degrees. Symmetry generates all atoms from Tl at (0.0000, 0.0000, 0.0000), H at (0.5000, 0.5000, 0.5000), Se at (0.0000, 0.0000, 0.5000) and N at (0.0000, 0.5000, 0.0000).


Record 5
DFT (PBE) results for crystalline TlH6SeN2 at its relaxed geometry.

The electronic total energy comes out at -4.544 eV/atom. The total magnetic moment comes out at 0.0000 μB per atom.

The space group is C2/c (No. 15) and the conventional cell measures 11.6477, 9.4127 and 5.4769 Å, with angles of 90.00, 90.81 and 90.00 degrees. Symmetry generates all atoms from Tl at (0.0000, 0.2307, 0.2500), H at (0.1783, 0.2369, 0.7566), H at (0.2401, 0.3838, 0.1037), H at (0.2458, 0.3779, 0.4043), Se at (0.0000, 0.4621, 0.7500) and N at (0.2453, 0.3170, 0.2502).


Record 6
DFT (PBE) results for crystalline TlHSeN2 at its relaxed geometry.

The total magnetic moment comes out at 0.2381 μB per atom. The value obtained for the relative energy among the computed polymorphs is 0 meV per atom.

The space group is P4/mmm (No. 123) and the conventional cell measures 4.3674, 4.3674 and 3.3345 Å, with angles of 90.00, 90.00 and 90.00 degrees. Symmetry generates all atoms from Tl at (0.0000, 0.0000, 0.0000), H at (0.5000, 0.5000, 0.5000), Se at (0.5000, 0.5000, 0.0000) and N at (0.0000, 0.5000, 0.5000).


Record 7
DFT (PBE) results for crystalline VHSeN2 at its relaxed geometry.

The total magnetic moment comes out at 0.0001 μB per atom. The value obtained for the relative energy among the computed polymorphs is 0 meV per atom.

The space group is P4/mmm (No. 123) and the conventional cell measures 3.6487, 3.6487 and 5.2496 Å, with angles of 90.00, 90.00 and 90.00 degrees. Symmetry generates all atoms from V at (0.0000, 0.0000, 0.0000), H at (0.5000, 0.5000, 0.5000), Se at (0.0000, 0.0000, 0.5000) and N at (0.0000, 0.5000, 0.0000).


Record 8
DFT (PBE) results for crystalline VHSeN2 at its relaxed geometry.

The total magnetic moment comes out at 0.0001 μB per atom. The value obtained for the relative energy among the computed polymorphs is 770 meV per atom.

The space group is P4/mmm (No. 123) and the conventional cell measures 3.8964, 3.8964 and 3.0722 Å, with angles of 90.00, 90.00 and 90.00 degrees. Symmetry generates all atoms from V at (0.0000, 0.0000, 0.0000), H at (0.5000, 0.5000, 0.5000), Se at (0.5000, 0.5000, 0.0000) and N at (0.0000, 0.5000, 0.5000).


Record 9
DFT (PBE) results for crystalline HWSeN2 at its relaxed geometry.

The total magnetic moment comes out at 0.1033 μB per atom. The value obtained for the relative energy among the computed polymorphs is 0 meV per atom.

The space group is P4/mmm (No. 123) and the conventional cell measures 3.8532, 3.8532 and 5.2762 Å, with angles of 90.00, 90.00 and 90.00 degrees. Symmetry generates all atoms from H at (0.0000, 0.0000, 0.0000), W at (0.5000, 0.5000, 0.5000), Se at (0.5000, 0.5000, 0.0000) and N at (0.0000, 0.5000, 0.5000).


Record 10
DFT (PBE) results for crystalline HWSe2N at its relaxed geometry.

The total magnetic moment comes out at 0.0027 μB per atom. The value obtained for the relative energy among the computed polymorphs is 921 meV per atom.

The space group is P4/mmm (No. 123) and the conventional cell measures 3.6496, 3.6496 and 4.7138 Å, with angles of 90.00, 90.00 and 90.00 degrees. Symmetry generates all atoms from H at (0.0000, 0.0000, 0.0000), W at (0.5000, 0.5000, 0.5000), Se at (0.0000, 0.5000, 0.0000) and N at (0.0000, 0.0000, 0.5000).


Record 11
DFT (PBE) results for crystalline HWSe2N at its relaxed geometry.

The total magnetic moment comes out at 0.0421 μB per atom. The value obtained for the relative energy among the computed polymorphs is 0 meV per atom.

The space group is P4/mmm (No. 123) and the conventional cell measures 5.0103, 5.0103 and 3.8521 Å, with angles of 90.00, 90.00 and 90.00 degrees. Symmetry generates all atoms from H at (0.0000, 0.0000, 0.0000), W at (0.5000, 0.5000, 0.5000), Se at (0.0000, 0.5000, 0.5000) and N at (0.5000, 0.5000, 0.0000).


Record 12
DFT (PBE) results for crystalline HWSeN2 at its relaxed geometry.

The total magnetic moment comes out at 0.0000 μB per atom. The value obtained for the relative energy among the computed polymorphs is 957 meV per atom.

The space group is P4/mmm (No. 123) and the conventional cell measures 3.9765, 3.9765 and 3.0123 Å, with angles of 90.00, 90.00 and 90.00 degrees. Symmetry generates all atoms from H at (0.0000, 0.0000, 0.0000), W at (0.5000, 0.5000, 0.5000), Se at (0.0000, 0.0000, 0.5000) and N at (0.0000, 0.5000, 0.0000).


Record 13
DFT (PBE) results for crystalline ZrHSe2N at its relaxed geometry.

The total magnetic moment comes out at 0.6721 μB per atom. The value obtained for the relative energy among the computed polymorphs is 41 meV per atom.

The space group is P4/mmm (No. 123) and the conventional cell measures 5.3049, 5.3049 and 4.2800 Å, with angles of 90.00, 90.00 and 90.00 degrees. Symmetry generates all atoms from Zr at (0.0000, 0.0000, 0.0000), H at (0.5000, 0.5000, 0.5000), Se at (0.0000, 0.5000, 0.0000) and N at (0.0000, 0.0000, 0.5000).